1.
# TlFe2AgBr8 | Alexandria | PBE | optimized geometry
data_TlFe2AgBr8
_cell_length_a 11.364
_cell_length_b 7.853
_cell_length_c 9.670
_cell_angle_alpha 90.00
_cell_angle_beta 94.46
_cell_angle_gamma 90.00
_space_group_name_H-M_alt 'C 1 2/m 1'
_space_group_IT_number 12
_space_group_name_Hall '-C 2y'
loop_
_atom_site_label
_atom_site_type_symbol
_atom_site_fract_x
_atom_site_fract_y
_atom_site_fract_z
Tl1 Tl 0.000 0.000 0.000
Fe1 Fe 0.123 0.500 0.275
Ag1 Ag 0.000 0.000 0.500
Br1 Br 0.002 0.256 0.720
Br2 Br 0.211 0.500 0.064
Br3 Br 0.248 0.000 0.523
# Crystal system ... monoclinic
# Total moment ... 10.0 μB/f.u.
# Formation energy from raw total energies ... -6.38 eV per formula unit

2.
# TlFeAgBr4 | Alexandria | PBE | optimized geometry
data_TlFeAgBr4
_cell_length_a 7.354
_cell_length_b 7.354
_cell_length_c 9.887
_cell_angle_alpha 90.00
_cell_angle_beta 90.00
_cell_angle_gamma 90.00
_space_group_name_H-M_alt 'I -4'
_space_group_IT_number 82
_space_group_name_Hall 'I -4'
loop_
_atom_site_label
_atom_site_type_symbol
_atom_site_fract_x
_atom_site_fract_y
_atom_site_fract_z
Tl1 Tl 0.000 0.000 0.000
Fe1 Fe 0.000 0.500 0.250
Ag1 Ag 0.000 0.000 0.500
Br1 Br 0.180 0.742 0.356
# Crystal system ... tetragonal
# Total moment ... 4.0 μB/f.u.
# Formation energy from raw total energies ... -3.48 eV per formula unit

3.
# Tl2FeAgBr6 | Alexandria | PBE | optimized geometry
data_Tl2FeAgBr6
_cell_length_a 7.399
_cell_length_b 7.686
_cell_length_c 12.885
_cell_angle_alpha 90.00
_cell_angle_beta 124.65
_cell_angle_gamma 90.00
_space_group_name_H-M_alt 'P 1 21/c 1'
_space_group_IT_number 14
_space_group_name_Hall '-P 2ybc'
loop_
_atom_site_label
_atom_site_type_symbol
_atom_site_fract_x
_atom_site_fract_y
_atom_site_fract_z
Tl1 Tl 0.229 0.071 0.250
Fe1 Fe 0.500 0.000 0.000
Ag1 Ag 0.000 0.000 0.500
Br1 Br 0.179 0.189 0.962
Br2 Br 0.275 0.719 0.964
Br3 Br 0.340 0.009 0.762
# Crystal system ... monoclinic
# Total moment ... 4.9 μB/f.u.
# Formation energy from raw total energies ... -5.70 eV per formula unit

4.
# TlFe2AgBr6 | Alexandria | PBE | optimized geometry
data_TlFe2AgBr6
_cell_length_a 14.190
_cell_length_b 13.964
_cell_length_c 7.580
_cell_angle_alpha 90.00
_cell_angle_beta 109.14
_cell_angle_gamma 90.00
_space_group_name_H-M_alt 'C 1 2/c 1'
_space_group_IT_number 15
_space_group_name_Hall '-C 2yc'
loop_
_atom_site_label
_atom_site_type_symbol
_atom_site_fract_x
_atom_site_fract_y
_atom_site_fract_z
Tl1 Tl 0.000 0.120 0.250
Fe1 Fe 0.193 0.428 0.206
Ag1 Ag 0.000 0.237 0.750
Br1 Br 0.126 0.077 0.692
Br2 Br 0.130 0.272 0.079
Br3 Br 0.133 0.444 0.476
# Crystal system ... monoclinic
# Total moment ... 8.0 μB/f.u.
# Formation energy from raw total energies ... -4.53 eV per formula unit

Repeat the second record exactly.
# TlFeAgBr4 | Alexandria | PBE | optimized geometry
data_TlFeAgBr4
_cell_length_a 7.354
_cell_length_b 7.354
_cell_length_c 9.887
_cell_angle_alpha 90.00
_cell_angle_beta 90.00
_cell_angle_gamma 90.00
_space_group_name_H-M_alt 'I -4'
_space_group_IT_number 82
_space_group_name_Hall 'I -4'
loop_
_atom_site_label
_atom_site_type_symbol
_atom_site_fract_x
_atom_site_fract_y
_atom_site_fract_z
Tl1 Tl 0.000 0.000 0.000
Fe1 Fe 0.000 0.500 0.250
Ag1 Ag 0.000 0.000 0.500
Br1 Br 0.180 0.742 0.356
# Crystal system ... tetragonal
# Total moment ... 4.0 μB/f.u.
# Formation energy from raw total energies ... -3.48 eV per formula unit